{"formula": "CrPPb2", "functional": "meta-GGA SCAN", "state": "single point on PBEsol structure", "dos_at_fermi_per_ev_atom": 0.5178, "space_group": "I4/mmm (139)", "lattice": [[-2.160, 2.160, 4.742], [2.160, -2.160, 4.742], [2.160, 2.160, -4.742]], "species": ["Cr", "P", "Pb", "Pb"], "fractional_positions": [[0.000, 0.000, 0.000], [0.500, 0.500, 0.000], [0.250, 0.750, 0.500], [0.750, 0.250, 0.500]]}

***

{"formula": "Cr2PPb", "functional": "meta-GGA SCAN", "state": "single point on PBEsol structure", "dos_at_fermi_per_ev_atom": 0.6705, "space_group": "C2/m (12)", "polymorph_energy_mev_per_atom": 0, "lattice": [[2.972, -3.479, 0.000], [2.972, 3.479, 0.000], [-0.554, 0.000, 3.051]], "species": ["Cr", "Cr", "P", "Pb"], "fractional_positions": [[0.000, 0.500, 0.000], [0.500, 0.000, 0.000], [0.000, 0.000, 0.500], [0.500, 0.500, 0.500]]}

***

{"formula": "CrP2Pb", "functional": "meta-GGA SCAN", "state": "single point on PBEsol structure", "dos_at_fermi_per_ev_atom": 0.5607, "space_group": "I4/mmm (139)", "lattice": [[-2.494, 2.494, 2.890], [2.494, -2.494, 2.890], [2.494, 2.494, -2.890]], "species": ["Cr", "P", "P", "Pb"], "fractional_positions": [[0.000, 0.000, 0.000], [0.250, 0.750, 0.500], [0.750, 0.250, 0.500], [0.500, 0.500, 0.000]]}

***

{"formula": "Cr2PPb", "functional": "meta-GGA SCAN", "state": "single point on PBEsol structure", "dos_at_fermi_per_ev_atom": 0.7804, "space_group": "P4/mmm (123)", "polymorph_energy_mev_per_atom": 171, "lattice": [[4.322, 0.000, 0.000], [0.000, 4.322, 0.000], [0.000, 0.000, 3.156]], "species": ["Cr", "Cr", "P", "Pb"], "fractional_positions": [[0.000, 0.500, 0.000], [0.500, 0.000, 0.000], [0.000, 0.000, 0.500], [0.500, 0.500, 0.500]]}

***

{"formula": "CrP2Pb", "functional": "meta-GGA SCAN", "state": "single point on PBEsol structure", "dos_at_fermi_per_ev_atom": 0.3965, "space_group": "P4mm (99)", "lattice": [[3.028, 0.000, 0.000], [0.000, 3.028, 0.000], [0.000, 0.000, 7.480]], "species": ["Cr", "P", "P", "Pb"], "fractional_positions": [[0.000, 0.000, 0.000], [0.000, 0.000, 0.307], [0.500, 0.500, 0.118], [0.500, 0.500, 0.702]]}

***

{"formula": "CrP2Pb", "functional": "meta-GGA SCAN", "state": "single point on PBEsol structure", "dos_at_fermi_per_ev_atom": 0.5356, "space_group": "Imm2 (44)", "lattice": [[-1.594, 2.583, 4.414], [1.594, -2.583, 4.414], [1.594, 2.583, -4.414]], "species": ["Cr", "P", "P", "Pb"], "fractional_positions": [[0.000, 0.000, 0.000], [0.227, 0.727, 0.500], [0.417, 0.417, 0.000], [0.705, 0.205, 0.500]]}

***

{"formula": "CrSnP2Pb", "functional": "meta-GGA SCAN", "state": "single point on PBEsol structure", "dos_at_fermi_per_ev_atom": 0.8429, "space_group": "P4/mmm (123)", "lattice": [[4.975, 0.000, 0.000], [0.000, 4.975, 0.000], [0.000, 0.000, 5.623]], "species": ["Cr", "Sn", "P", "P", "Pb"], "fractional_positions": [[0.000, 0.000, 0.000], [0.500, 0.500, 0.500], [0.000, 0.500, 0.500], [0.500, 0.000, 0.500], [0.500, 0.500, 0.000]]}

***

{"formula": "CrP2Pt", "functional": "meta-GGA SCAN", "state": "single point on PBEsol structure", "dos_at_fermi_per_ev_atom": 0.5663, "space_group": "C2/m (12)", "polymorph_energy_mev_per_atom": 0, "lattice": [[3.700, -1.457, 0.000], [3.700, 1.457, 0.000], [-0.920, 0.000, 4.755]], "species": ["Cr", "P", "P", "Pt"], "fractional_positions": [[0.000, 0.000, 0.000], [0.264, 0.264, 0.797], [0.736, 0.736, 0.203], [0.500, 0.500, 0.500]]}

***

{"formula": "CrP2Pt", "functional": "meta-GGA SCAN", "state": "single point on PBEsol structure", "dos_at_fermi_per_ev_atom": 0.5881, "space_group": "P4mm (99)", "polymorph_energy_mev_per_atom": 246, "lattice": [[2.739, 0.000, 0.000], [0.000, 2.739, 0.000], [0.000, 0.000, 7.252]], "species": ["Cr", "P", "P", "Pt"], "fractional_positions": [[0.000, 0.000, 0.000], [0.000, 0.000, 0.497], [0.500, 0.500, 0.182], [0.500, 0.500, 0.743]]}

***

{"formula": "Cr2PPt", "functional": "meta-GGA SCAN", "state": "single point on PBEsol structure", "dos_at_fermi_per_ev_atom": 0.7996, "space_group": "P4mm (99)", "lattice": [[2.802, 0.000, 0.000], [0.000, 2.802, 0.000], [0.000, 0.000, 6.309]], "species": ["Cr", "Cr", "P", "Pt"], "fractional_positions": [[0.000, 0.000, 0.000], [0.500, 0.500, 0.256], [0.000, 0.000, 0.421], [0.500, 0.500, 0.718]]}

***

{"formula": "Cr2PPt", "functional": "meta-GGA SCAN", "state": "single point on PBEsol structure", "dos_at_fermi_per_ev_atom": 0.5461, "space_group": "I-4m2 (119)", "lattice": [[-1.842, 1.842, 3.734], [1.842, -1.842, 3.734], [1.842, 1.842, -3.734]], "species": ["Cr", "Cr", "P", "Pt"], "fractional_positions": [[0.000, 0.000, 0.000], [0.750, 0.250, 0.500], [0.500, 0.500, 0.000], [0.250, 0.750, 0.500]]}

***

{"formula": "CrPPt3", "functional": "meta-GGA SCAN", "state": "single point on PBEsol structure", "dos_at_fermi_per_ev_atom": 0.6499, "space_group": "Pm-3m (221)", "lattice": [[4.438, 0.000, 0.000], [0.000, 4.438, 0.000], [0.000, 0.000, 4.438]], "species": ["Cr", "P", "Pt", "Pt", "Pt"], "fractional_positions": [[0.000, 0.000, 0.000], [0.500, 0.500, 0.500], [0.000, 0.500, 0.500], [0.500, 0.000, 0.500], [0.500, 0.500, 0.000]]}

***

no.,ΔH_f (0 K) (eV per atom),DFT total energy (eV/atom)
1,0.44,-44.6446
2,0.45,-30.2899
3,0.47,-28.2743
4,0.62,-30.1190
5,0.22,-28.5168
6,0.39,-28.3499
7,1.22,-28.9616
8,-0.11,-27.4489
9,0.14,-27.2031
10,-0.01,-29.3523
11,-0.31,-29.6547
12,0.09,-47.7847